Below is a geometry-optimized Na5PaO5 structure, with properties calculated at the GGA-PBE level.

```
Na5PaO5
1.0
0.970 5.288 -2.702
-3.441 3.999 -2.894
-0.633 1.201 6.500
Na O Pa
5 5 1
Cartesian
-0.878 3.128 -0.826 Na
-1.955 6.947 -1.744 Na
-0.317 0.600 3.250 Na
-1.150 3.542 2.648 Na
-2.226 7.360 1.730 Na
-1.236 4.644 -2.798 O
-2.229 8.179 -3.729 O
-0.570 1.779 1.161 O
-2.534 8.710 -0.257 O
-0.876 2.309 4.633 O
0.000 0.000 0.000 Pa
```

Computed properties:
Energy in eV per atom: -5.72

Below is a geometry-optimized SmCl2 structure, with properties calculated at the GGA-PBE level.

```
SmCl2
1.0
-5.584 -0.667 1.833
-3.808 4.506 -0.419
-4.403 -0.206 -3.944
Cl Sm
4 2
Cartesian
-6.421 2.374 0.391 Cl
-6.718 0.018 -1.372 Cl
-5.830 2.604 -2.498 Cl
-8.622 2.271 -1.581 Cl
0.000 0.000 0.000 Sm
-3.449 0.908 -0.632 Sm
```

Computed properties:
Energy in eV per atom: -3.34

Below is a geometry-optimized CsKAgAs structure, with properties calculated at the GGA-PBE level.

```
CsKAgAs
1.0
-3.400 4.903 -2.761
0.210 -2.972 -5.538
-4.726 -4.530 2.252
Ag As Cs K
2 2 2 2
Cartesian
-1.700 2.452 -1.380 Ag
-1.595 0.966 -4.149 Ag
-3.673 1.592 -2.779 As
-4.242 -4.191 -3.267 As
-0.852 -2.855 -3.856 Cs
-7.063 0.256 -2.191 Cs
-3.382 -1.429 -1.147 K
-4.534 -1.170 -4.900 K
```

Computed properties:
Energy relative to the lowest polymorph listed for this composition in meV per atom: 0
Energy in eV per atom: -2.74

Below is a geometry-optimized Tb3Zn2Pt3 structure, with properties calculated at the GGA-PBE level.

```
Tb3Zn2Pt3
1.0
3.884 0.000 0.000
0.000 3.884 0.000
0.000 0.000 13.905
Pt Tb Zn
3 3 2
Cartesian
1.942 1.942 0.000 Pt
0.000 0.000 6.952 Pt
1.942 1.942 6.952 Pt
0.000 0.000 0.000 Tb
0.000 0.000 3.218 Tb
0.000 0.000 10.686 Tb
1.942 0.000 5.294 Zn
0.000 1.942 8.611 Zn
```

Computed properties:
Formation energy in eV per atom: 0.017
Energy in eV per atom: -4.31